Entry 1:
Here is an optimized crystal structure of Li2LaCu2 from the Alexandria database. Energies are from PBEsol.

## Properties
**Energy of formation from the pure elements**: -0.05 eV per atom
**Crystal system**: tetragonal
**Density of states at the Fermi level**: 5.06 states/eV per cell

```
data_Li2LaCu2
_chemical_formula_sum 'Li4 La2 Cu4'
_cell_length_a 3.870
_cell_length_b 3.870
_cell_length_c 12.462
_cell_angle_alpha 90.00
_cell_angle_beta 90.00
_cell_angle_gamma 90.00
_symmetry_space_group_name_H-M 'I 4/m m m'
_symmetry_Int_Tables_number 139
_symmetry_space_group_name_Hall '-I 4 2'
loop_
_atom_site_label
_atom_site_type_symbol
_atom_site_fract_x
_atom_site_fract_y
_atom_site_fract_z
Li1 Li 0.000 0.500 0.250
La1 La 0.000 0.000 0.000
Cu1 Cu 0.000 0.000 0.401
```

***

Entry 2:
Here is an optimized crystal structure of LiLa2Cu from the Alexandria database. Energies are from PBEsol.

## Properties
**Energy of formation from the pure elements**: 0.01 eV per atom
**Crystal system**: tetragonal
**Energy above the lowest structure with this stoichiometry**: 0.00 eV/f.u.
**Density of states at the Fermi level**: 4.44 states/eV per cell

```
data_LiLa2Cu
_chemical_formula_sum 'Li1 La2 Cu1'
_cell_length_a 3.690
_cell_length_b 3.690
_cell_length_c 7.558
_cell_angle_alpha 90.00
_cell_angle_beta 90.00
_cell_angle_gamma 90.00
_symmetry_space_group_name_H-M 'P 4/m m m'
_symmetry_Int_Tables_number 123
_symmetry_space_group_name_Hall '-P 4 2'
loop_
_atom_site_label
_atom_site_type_symbol
_atom_site_fract_x
_atom_site_fract_y
_atom_site_fract_z
Li1 Li 0.000 0.000 0.000
La1 La 0.500 0.500 0.290
Cu1 Cu 0.000 0.000 0.500
```

***

Entry 3:
Here is an optimized crystal structure of La2MgCu from the Alexandria database. Energies are from PBEsol.

## Properties
**Energy of formation from the pure elements**: 0.01 eV per atom
**Crystal system**: tetragonal
**Density of states at the Fermi level**: 5.00 states/eV per cell

```
data_La2MgCu
_chemical_formula_sum 'La2 Mg1 Cu1'
_cell_length_a 5.235
_cell_length_b 5.235
_cell_length_c 3.818
_cell_angle_alpha 90.00
_cell_angle_beta 90.00
_cell_angle_gamma 90.00
_symmetry_space_group_name_H-M 'P 4/m m m'
_symmetry_Int_Tables_number 123
_symmetry_space_group_name_Hall '-P 4 2'
loop_
_atom_site_label
_atom_site_type_symbol
_atom_site_fract_x
_atom_site_fract_y
_atom_site_fract_z
La1 La 0.000 0.500 0.000
Mg1 Mg 0.000 0.000 0.500
Cu1 Cu 0.500 0.500 0.500
```

***

Question: Among the records above, which one has the lowest density of states at the Fermi level?
Answer: LiLa2Cu

***

Question: energy of formation from the pure elements of number 1 (Li2LaCu2)?
Answer: -0.05 eV per atom

***

Question: Look up the energy of formation from the pure elements of the third one.
Answer: 0.01 eV per atom